[1]
Material: Zr2TcMo
Method: DFT, PBE
State: relaxed

a b c (Å): 3.333 4.853 9.249
angles (deg): 90.00 90.00 90.00
Space group Cmm2 (No. 35)
Asymmetric unit:
Zr 0.000 0.000 0.000 x2
Zr 0.000 0.500 0.303 x2
Tc 0.000 0.000 0.537 x2
Mo 0.000 0.500 0.753 x2

Results
energy of formation = 0.07 eV per atom
calculated density = 8.36 g cm⁻³

[2]
Material: Mg2Cd2GaPd5
Method: DFT, PBE
State: relaxed

a b c (Å): 10.810 10.810 3.027
angles (deg): 90.00 90.00 90.00
Space group P4/mbm (No. 127)
Asymmetric unit:
Mg 0.145 0.355 0.000 x4
Cd 0.152 0.652 0.000 x4
Ga 0.000 0.000 0.000 x2
Pd 0.000 0.500 0.500 x2
Pd 0.129 0.147 0.500 x8

Results
energy of formation = -0.46 eV per atom
calculated density = 8.22 g cm⁻³

Looking at total magnetization for the records above, in order, we have 0.0000, 0.0000 μB/atom.
Looking at E for the records above, in order, we have -76.06, -77.31 eV per cell.